1.
! Ba2LiHg4Pd3 | Alexandria via LeMat-Bulk | GGA-PBE | relaxed; values from VASP
&SYSTEM
  ibrav = 0, nat = 10, ntyp = 4
/
ATOMIC_SPECIES
Ba 137.33 Ba.upf
Li 6.94 Li.upf
Hg 200.59 Hg.upf
Pd 106.42 Pd.upf
CELL_PARAMETERS angstrom
4.671 0.000 0.000
0.000 4.671 0.000
0.000 0.000 11.767
ATOMIC_POSITIONS angstrom
Ba 0.000 2.335 2.806
Ba 2.335 0.000 8.961
Li 0.000 0.000 5.883
Hg 0.000 0.000 0.000
Hg 0.000 2.335 7.382
Hg 2.335 0.000 4.385
Hg 2.335 2.335 0.000
Pd 0.000 2.335 10.123
Pd 2.335 0.000 1.644
Pd 2.335 2.335 5.883
! **VASP energy**: -2.69 eV per atom
! **Formation energy from the elements**: -0.438 eV per atom


2.
! TlGeSb2 | Alexandria via LeMat-Bulk | GGA-PBE | relaxed; values from VASP
&SYSTEM
  ibrav = 0, nat = 4, ntyp = 3
/
ATOMIC_SPECIES
Tl 204.38 Tl.upf
Ge 72.64 Ge.upf
Sb 121.76 Sb.upf
CELL_PARAMETERS angstrom
3.690 0.000 0.000
0.000 3.690 0.000
0.000 0.000 7.935
ATOMIC_POSITIONS angstrom
Tl 0.000 0.000 0.000
Ge 0.000 0.000 3.967
Sb 1.845 1.845 2.353
Sb 1.845 1.845 5.582
! **ΔE_f (raw)**: 176 meV/atom
! **Energy above the most stable polymorph in this dataset**: 0.031 eV/atom
! **VASP energy**: -3.63 eV per atom


3.
! KNaGaAu | Alexandria via LeMat-Bulk | GGA-PBE | relaxed; values from VASP
&SYSTEM
  ibrav = 0, nat = 4, ntyp = 4
/
ATOMIC_SPECIES
K 39.10 K.upf
Na 22.99 Na.upf
Ga 69.72 Ga.upf
Au 196.97 Au.upf
CELL_PARAMETERS angstrom
3.945 -2.277 0.000
3.945 2.277 0.000
-2.648 0.000 6.992
ATOMIC_POSITIONS angstrom
K 0.000 0.000 0.000
Na 5.245 0.000 3.010
Ga -0.016 0.000 4.650
Au 2.614 0.000 4.617
! **VASP energy**: -2.41 eV per atom
! **Formation energy from the elements**: -0.230 eV per atom


4.
! FeHgAs2 | Alexandria via LeMat-Bulk | GGA-PBE | relaxed; values from VASP
&SYSTEM
  ibrav = 0, nat = 4, ntyp = 3
/
ATOMIC_SPECIES
Fe 55.84 Fe.upf
Hg 200.59 Hg.upf
As 74.92 As.upf
CELL_PARAMETERS angstrom
-1.434 2.409 5.532
1.434 -2.409 5.532
1.434 2.409 -5.532
ATOMIC_POSITIONS angstrom
Fe 0.000 0.000 0.000
Hg 0.000 0.000 5.532
As 1.434 0.000 1.962
As 0.000 2.409 3.571
! **VASP energy**: -4.34 eV per atom
! **Formation energy from the elements**: 0.174 eV per atom


5.
! BaInBi2Pd | Alexandria via LeMat-Bulk | GGA-PBE | relaxed; values from VASP
&SYSTEM
  ibrav = 0, nat = 5, ntyp = 4
/
ATOMIC_SPECIES
Ba 137.33 Ba.upf
In 114.82 In.upf
Bi 208.98 Bi.upf
Pd 106.42 Pd.upf
CELL_PARAMETERS angstrom
5.630 0.000 0.000
0.000 5.630 0.000
0.000 0.000 5.218
ATOMIC_POSITIONS angstrom
Ba 0.000 0.000 0.000
In 2.815 2.815 0.000
Bi 0.000 2.815 2.609
Bi 2.815 0.000 2.609
Pd 2.815 2.815 2.609
! **VASP energy**: -3.87 eV per atom
! **Formation energy from the elements**: -0.346 eV per atom


6.
! YSiPt2 | Alexandria via LeMat-Bulk | GGA-PBE | relaxed; values from VASP
&SYSTEM
  ibrav = 0, nat = 4, ntyp = 3
/
ATOMIC_SPECIES
Y 88.91 Y.upf
Si 28.09 Si.upf
Pt 195.08 Pt.upf
CELL_PARAMETERS angstrom
3.794 0.000 0.000
0.000 3.911 0.000
0.000 0.000 5.468
ATOMIC_POSITIONS angstrom
Y 0.000 0.000 0.000
Si 1.897 0.000 2.734
Pt 1.897 1.955 1.353
Pt 1.897 1.955 4.114
! **ΔE_f (raw)**: -965 meV/atom
! **VASP energy**: -6.96 eV per atom


7.
! CaLa2RuPb | Alexandria via LeMat-Bulk | GGA-PBE | relaxed; values from VASP
&SYSTEM
  ibrav = 0, nat = 5, ntyp = 4
/
ATOMIC_SPECIES
Ca 40.08 Ca.upf
La 138.91 La.upf
Ru 101.07 Ru.upf
Pb 207.20 Pb.upf
CELL_PARAMETERS angstrom
5.356 0.000 0.000
0.000 5.356 0.000
0.000 0.000 5.557
ATOMIC_POSITIONS angstrom
Ca 0.000 0.000 0.000
La 0.000 2.678 2.779
La 2.678 0.000 2.779
Ru 0.000 0.000 2.779
Pb 2.678 2.678 0.000
! **Energy above the most stable polymorph in this dataset**: 0.000 eV/atom
! **VASP energy**: -5.30 eV per atom
! **Formation energy from the elements**: -0.335 eV per atom


8.
! Ac2CoAs | Alexandria via LeMat-Bulk | GGA-PBE | relaxed; values from VASP
&SYSTEM
  ibrav = 0, nat = 4, ntyp = 3
/
ATOMIC_SPECIES
Ac 227.00 Ac.upf
Co 58.93 Co.upf
As 74.92 As.upf
CELL_PARAMETERS angstrom
5.291 0.000 0.000
0.000 5.291 0.000
0.000 0.000 3.878
ATOMIC_POSITIONS angstrom
Ac 0.000 2.646 0.000
Ac 2.646 0.000 0.000
Co 0.000 0.000 1.939
As 2.646 2.646 1.939
! **Energy above the most stable polymorph in this dataset**: 0.000 eV/atom
! **VASP energy**: -5.40 eV per atom
! **Formation energy from the elements**: -0.405 eV per atom